1.
Here is an optimized crystal structure of ErUSb2 from the Alexandria database. Energies are from PBE-GGA.

Values from the calculation:
calculated volume = 35.1 A^3/atom
distance to the lowest polymorph of the same formula = 860 meV/atom

Cell: 4.0384 4.0384 29.8210 Å, 90.00 90.00 120.00°
With the nearest neighbours (Å) after each atom.
Fractional positions:
Er 0.0000 0.0000 0.0000  2 Sb 2.98
Er 0.3333 0.6667 0.6667  2 Sb 2.98
Er 0.6667 0.3333 0.3333  2 Sb 2.98
U 0.0000 0.0000 0.5000  6 Sb 3.06
U 0.3333 0.6667 0.1667  6 Sb 3.06
U 0.6667 0.3333 0.8333  6 Sb 3.06
Sb 0.0000 0.0000 0.1000  1 Er 2.98, 3 U 3.06
Sb 0.0000 0.0000 0.9000  1 Er 2.98, 3 U 3.06
Sb 0.3333 0.6667 0.5667  1 Er 2.98, 3 U 3.06
Sb 0.3333 0.6667 0.7666  1 Er 2.98, 3 U 3.06
Sb 0.6667 0.3333 0.2334  1 Er 2.98, 3 U 3.06
Sb 0.6667 0.3333 0.4333  1 Er 2.98, 3 U 3.06


2.
Here is an optimized crystal structure of Er4USb5 from the Alexandria database. Energies are from PBE-GGA.

Values from the calculation:
VASP energy = -59.17 eV for the cell shown
calculated volume = 29.2 A^3/atom

Cell: 7.5418 7.5418 7.5418 Å, 99.63 99.63 131.73°
With the nearest neighbours (Å) after each atom.
Fractional positions:
Er 0.1001 0.3001 0.4002  6 Sb 3.07-3.08
Er 0.3001 0.8999 0.1999  6 Sb 3.07-3.08
Er 0.6999 0.1001 0.8001  6 Sb 3.07-3.08
Er 0.8999 0.6999 0.5998  6 Sb 3.07-3.08
U 0.5000 0.5000 0.0000  6 Sb 3.08
Sb 0.0000 0.0000 0.0000  4 Er 3.08, 2 U 3.08
Sb 0.1998 0.5992 0.7990  5 Er 3.07-3.08, 1 U 3.08
Sb 0.4008 0.1998 0.6005  5 Er 3.07-3.08, 1 U 3.08
Sb 0.5992 0.8002 0.3995  5 Er 3.07-3.08, 1 U 3.08
Sb 0.8002 0.4008 0.2010  5 Er 3.07-3.08, 1 U 3.08


Question: The lowest calculated volume belongs to which entry?
Answer: Er4USb5


Question: Which of these has the highest calculated volume?
Answer: ErUSb2